Record 1
A plane-wave DFT calculation with PBE-GGA was carried out for a relaxed structure of BaLiGe.

Computed properties:
ΔH_f (0 K), eV per atom: -0.41
N(E_F), states/eV per cell: 1.812
Symmetry: P-1, No. 2
Raw total energy, eV/f.u.: -9.7

Cell lengths 4.979, 6.327, 6.565 Å; angles 69.75, 84.36, 68.43 degrees
Sites, in units of the cell vectors:
Ba1 0.168 0.131 0.216
Ba2 0.832 0.869 0.784
Li1 0.404 0.533 0.307
Li2 0.596 0.467 0.693
Ge1 0.161 0.327 0.665
Ge2 0.839 0.673 0.335

***

Record 2
A plane-wave DFT calculation with PBE-GGA was carried out for a relaxed structure of LiAg3.

Computed properties:
ΔH_f (0 K), eV per atom: -0.03
N(E_F), states/eV per cell: 1.841
Symmetry: R-3m, No. 166
Raw total energy, eV/f.u.: -10.6

Cell lengths 9.233, 9.233, 9.233 Å; angles 18.49, 18.49, 18.49 degrees
Sites, in units of the cell vectors:
Li1 0.000 0.000 0.000
Ag1 0.254 0.254 0.254
Ag2 0.500 0.500 0.500
Ag3 0.746 0.746 0.746

***

Record 3
A plane-wave DFT calculation with PBE-GGA was carried out for a relaxed structure of SmEr2Cd6.

Computed properties:
ΔH_f (0 K), eV per atom: -0.31
N(E_F), states/eV per cell: 7.331
Symmetry: P6/mmm, No. 191
Raw total energy, eV/f.u.: -22.1

Cell lengths 8.637, 8.637, 3.417 Å; angles 90.00, 90.00, 120.00 degrees
Sites, in units of the cell vectors:
Sm1 0.000 0.000 0.000
Er1 0.333 0.667 0.000
Er2 0.667 0.333 0.000
Cd1 0.000 0.336 0.500
Cd2 0.000 0.664 0.500
Cd3 0.336 0.000 0.500
Cd4 0.336 0.336 0.500
Cd5 0.664 0.000 0.500
Cd6 0.664 0.664 0.500

***

Record 4
A plane-wave DFT calculation with PBE-GGA was carried out for a relaxed structure of BaMgBr.

Computed properties:
N(E_F), states/eV per cell: 2.070
Symmetry: Cm, No. 8
Energy relative to the elements, uncorrected, eV per atom: -0.807
Raw total energy, eV/f.u.: -7.6
Offset from the most stable computed form, meV per atom: 0

Cell lengths 4.176, 4.176, 6.961 Å; angles 90.15, 90.15, 90.02 degrees
Sites, in units of the cell vectors:
Ba1 0.000 0.000 0.000
Mg1 0.498 0.498 0.647
Br1 0.500 0.500 0.240